Entry 1:
## Be2SiAu (PBEsol)

Data for a geometry-optimized Be2SiAu structure.

Results
Crystal system = trigonal
Raw formation energy = 0.147 eV per atom
D(E_F) = 1.4 states/eV/cell

The structure in POSCAR format:
```
Be2SiAu
1.0
-0.9266 1.1019 2.3708
-2.1196 -1.1816 1.3433
3.7519 -4.2361 5.0579
Be Si Au
2 1 1
Direct
0.2473 0.2473 0.2582 Be
0.7527 0.7527 0.7418 Be
0.5000 0.5000 0.5000 Si
0.0000 0.0000 0.0000 Au
```


Entry 2:
## Sc2TlCu (PBEsol)

Data for a geometry-optimized Sc2TlCu structure.

Results
Crystal system = cubic
D(E_F) = 5.8 states/eV/cell

The structure in POSCAR format:
```
Sc2TlCu
1.0
4.7697 0.0000 0.0000
2.3849 4.1307 0.0000
2.3849 1.3769 3.8945
Sc Tl Cu
2 1 1
Direct
0.7500 0.7500 0.7500 Sc
0.0000 0.0000 0.0000 Sc
0.2500 0.2500 0.2500 Tl
0.5000 0.5000 0.5000 Cu
```


Total energy per entry: -0.3139; -0.3669 Ry per atom
Total magnetization per entry: 0.0; 1.8 μB per formula unit